Entry 1:
Cd2BSeCl GGA-PBE optimized geometry; E_tot = -2.327 eV per atom; DOS at the Fermi energy = 0.890 states/eV per atom; ΔE_f (raw) = 0.4408 eV per atom
1.0
-2.829 -3.985 0.460
2.715 -2.186 -2.244
2.400 -1.230 4.102
B Cl Se Cd
1 1 1 2
direct
0.000 0.000 0.000 B
0.000 0.500 0.000 Cl
0.500 0.500 0.500 Se
0.000 0.000 0.500 Cd
0.500 0.000 0.000 Cd

=====

Entry 2:
NbTe2OsI GGA-PBE optimized geometry; E_tot = -4.631 eV per atom; DOS at the Fermi energy = 1.189 states/eV per atom; ΔE_f (raw) = 1.1952 eV per atom
1.0
-1.942 -2.339 -4.184
4.396 -2.668 -0.549
-1.995 -3.929 3.123
I Nb Te Os
1 1 2 1
direct
0.000 0.000 0.500 I
0.500 0.500 0.500 Nb
0.000 0.500 0.000 Te
0.500 0.000 0.000 Te
0.000 0.000 0.000 Os

=====

Entry 3:
Hg2H2Rh GGA-PBE optimized geometry; E_tot = -2.848 eV per atom; DOS at the Fermi energy = 0.239 states/eV per atom
1.0
2.923 0.008 0.815
1.342 2.598 0.839
-1.009 -0.532 8.768
Hg H Rh
2 2 1
direct
0.450 0.437 0.676 Hg
0.550 0.563 0.324 Hg
0.686 0.690 0.934 H
0.314 0.310 0.066 H
0.000 0.000 0.000 Rh

=====

Entry 4:
CeAl8Co2 GGA-PBE optimized geometry; E_tot = -4.458 eV per atom; energy of formation = 95.7 meV per atom; DOS at the Fermi energy = 1.378 states/eV per atom
1.0
5.599 0.000 0.000
0.000 5.599 0.000
0.000 0.000 7.953
Ce Al Co
1 8 2
direct
0.500 0.500 0.500 Ce
0.749 0.749 0.172 Al
0.749 0.251 0.828 Al
0.749 0.749 0.828 Al
0.749 0.251 0.172 Al
0.251 0.749 0.172 Al
0.251 0.749 0.828 Al
0.251 0.251 0.172 Al
0.251 0.251 0.828 Al
0.500 0.000 0.000 Co
0.000 0.500 0.000 Co